Below is SbTe2Au after structural relaxation, with properties calculated at the GGA-PBE level.

The structure in CIF format:
```
data_SbTe2Au
_chemical_formula_sum 'Sb1 Te2 Au1'
_cell_length_a 3.284
_cell_length_b 3.284
_cell_length_c 10.070
_cell_angle_alpha 90.00
_cell_angle_beta 90.00
_cell_angle_gamma 90.00
_symmetry_space_group_name_H-M 'P 4 m m'
_symmetry_Int_Tables_number 99
loop_
_symmetry_equiv_pos_as_xyz
'x,y,z'
'-y,x,z'
'-x,-y,z'
'y,-x,z'
'-x,y,z'
'y,x,z'
'x,-y,z'
'-y,-x,z'
loop_
_atom_site_label
_atom_site_fract_x
_atom_site_fract_y
_atom_site_fract_z
_atom_site_occupancy
Sb1 0.000 0.000 0.000 1
Te1 0.000 0.000 0.589 1
Te2 0.500 0.500 0.251 1
Au1 0.500 0.500 0.814 1
```

Fermi-level density of states	0.511	states/eV per atom
volume	109	Å³ per cell
uncorrected formation energy	0.2261	eV/atom
magnetization	0.0	μB/f.u.

=====

Below is RbYHf after structural relaxation, with properties calculated at the GGA-PBE level.

The structure in CIF format:
```
data_RbYHf
_chemical_formula_sum 'Rb2 Y2 Hf2'
_cell_length_a 3.398
_cell_length_b 5.769
_cell_length_c 13.295
_cell_angle_alpha 92.09
_cell_angle_beta 94.08
_cell_angle_gamma 106.71
_symmetry_space_group_name_H-M 'P 1'
_symmetry_Int_Tables_number 1
loop_
_symmetry_equiv_pos_as_xyz
'x,y,z'
loop_
_atom_site_label
_atom_site_fract_x
_atom_site_fract_y
_atom_site_fract_z
_atom_site_occupancy
Rb1 0.000 0.000 0.000 1
Rb2 0.448 0.462 0.716 1
Y1 0.359 0.544 0.209 1
Y2 0.885 0.479 0.424 1
Hf1 0.117 0.003 0.325 1
Hf2 0.639 0.947 0.506 1
```

Fermi-level density of states	0.949	states/eV per atom
ΔE_f	0.492	eV/atom
polymorph energy (0 for the lowest one)	246	meV/atom
volume	249	Å³ per cell
magnetization	0.1	μB/f.u.

=====

Below is Mg2TeOs after structural relaxation, with properties calculated at the GGA-PBE level.

The structure in CIF format:
```
data_Mg2TeOs
_chemical_formula_sum 'Mg8 Te4 Os4'
_cell_length_a 10.158
_cell_length_b 10.158
_cell_length_c 4.946
_cell_angle_alpha 90.00
_cell_angle_beta 90.00
_cell_angle_gamma 90.00
_symmetry_space_group_name_H-M 'I -4 2 d'
_symmetry_Int_Tables_number 122
_symmetry_space_group_name_Hall 'I -4 2bw'
loop_
_atom_site_label
_atom_site_fract_x
_atom_site_fract_y
_atom_site_fract_z
_atom_site_occupancy
Mg1 0.001 0.750 0.125 1
Te1 0.000 0.000 0.500 1
Os1 0.000 0.000 0.000 1
```

Fermi-level density of states	0.022	states/eV per atom
volume	510	Å³ per cell
uncorrected formation energy	0.3229	eV/atom
magnetization	0.0	μB/f.u.

=====

Below is SrCoPt2 after structural relaxation, with properties calculated at the GGA-PBE level.

The structure in CIF format:
```
data_SrCoPt2
_chemical_formula_sum 'Sr2 Co2 Pt4'
_cell_length_a 5.893
_cell_length_b 8.193
_cell_length_c 2.981
_cell_angle_alpha 90.00
_cell_angle_beta 90.00
_cell_angle_gamma 90.00
_symmetry_space_group_name_H-M 'C m m m'
_symmetry_Int_Tables_number 65
_symmetry_space_group_name_Hall '-C 2 2'
loop_
_atom_site_label
_atom_site_fract_x
_atom_site_fract_y
_atom_site_fract_z
_atom_site_occupancy
Sr1 0.000 0.000 0.000 1
Co1 0.000 0.500 0.000 1
Pt1 0.250 0.250 0.500 1
```

Fermi-level density of states	1.035	states/eV per atom
ΔE_f	0.032	eV/atom
volume	144	Å³ per cell
magnetization	2.0	μB/f.u.

=====

Below is SrGdPtRh after structural relaxation, with properties calculated at the GGA-PBE level.

The structure in CIF format:
```
data_SrGdPtRh
_chemical_formula_sum 'Sr4 Gd4 Pt4 Rh4'
_cell_length_a 7.118
_cell_length_b 7.118
_cell_length_c 7.118
_cell_angle_alpha 90.00
_cell_angle_beta 90.00
_cell_angle_gamma 90.00
_symmetry_space_group_name_H-M 'F -4 3 m'
_symmetry_Int_Tables_number 216
_symmetry_space_group_name_Hall 'F -4 2 3'
loop_
_atom_site_label
_atom_site_fract_x
_atom_site_fract_y
_atom_site_fract_z
_atom_site_occupancy
Sr1 0.000 0.000 0.000 1
Gd1 0.000 0.000 0.500 1
Pt1 0.250 0.250 0.250 1
Rh1 0.250 0.250 0.750 1
```

Fermi-level density of states	0.654	states/eV per atom
ΔE_f	-0.655	eV/atom
volume	361	Å³ per cell
magnetization	7.0	μB/f.u.

=====

Below is BaNaIr2C after structural relaxation, with properties calculated at the GGA-PBE level.

The structure in CIF format:
```
data_BaNaIr2C
_chemical_formula_sum 'Ba1 Na1 Ir2 C1'
_cell_length_a 5.223
_cell_length_b 5.223
_cell_length_c 6.591
_cell_angle_alpha 90.00
_cell_angle_beta 90.00
_cell_angle_gamma 90.00
_symmetry_space_group_name_H-M 'P 4/m m m'
_symmetry_Int_Tables_number 123
_symmetry_space_group_name_Hall '-P 4 2'
loop_
_atom_site_label
_atom_site_fract_x
_atom_site_fract_y
_atom_site_fract_z
_atom_site_occupancy
Ba1 0.000 0.000 0.000 1
Na1 0.000 0.000 0.500 1
Ir1 0.000 0.500 0.000 1
C1 0.500 0.500 0.500 1
```

Fermi-level density of states	1.667	states/eV per atom
ΔE_f	3.083	eV/atom
volume	180	Å³ per cell
magnetization	1.3	μB/f.u.